1.
The following is a PBE calculation of a geometry-optimized Nd4MgSn structure, from Alexandria.

Lattice parameters (Å, degrees): 11.678 11.678 6.756 90.00 90.00 152.51
Element x y z (fractional)
Nd 0.072 0.928 0.500
Nd 0.207 0.793 0.256
Nd 0.207 0.793 0.743
Nd 0.363 0.637 0.499
Nd 0.637 0.363 0.999
Nd 0.793 0.207 0.243
Nd 0.793 0.207 0.756
Nd 0.928 0.072 0.000
Mg 0.071 0.929 0.000
Mg 0.929 0.071 0.500
Sn 0.343 0.657 0.999
Sn 0.657 0.343 0.499

Computed properties:
Formation energy from the elements: -0.0472 eV per atom
SG: Cmc2_1 (36)
Final energy: -4.159 eV per atom



2.
The following is a PBE calculation of a geometry-optimized NdMg2Sn structure, from Alexandria.

Lattice parameters (Å, degrees): 4.597 4.597 4.841 90.00 90.00 90.00
Element x y z (fractional)
Nd 0.000 0.000 0.000
Mg 0.000 0.500 0.500
Mg 0.500 0.000 0.500
Sn 0.500 0.500 0.000

Computed properties:
Formation energy from the elements: -0.4364 eV per atom
SG: P4/mmm (123)
Final energy: -3.426 eV per atom
Distance to the lowest polymorph of the same formula: 0 meV/atom



> What is the final energy in the second record?

-3.426 eV per atom